VASP calculation (PBE) on a relaxed Cs2ThHgI6 crystal.

Cell: 8.6566 8.6566 20.7678 Å, 77.97 77.97 60.00°
With the nearest neighbours (Å) after each atom.
Sites, in units of the cell vectors:
I 0.1967 0.6953 0.9112  1 Th 3.08
Cs 0.6890 0.6890 0.9330  9 I 4.01-4.35
I 0.8033 0.8033 0.0888  1 Th 3.08
I 0.8647 0.3618 0.4116  1 Th 3.08
I 0.3618 0.3618 0.4116  1 Th 3.08
I 0.3047 0.8033 0.0888  1 Th 3.08
I 0.8033 0.3047 0.0888  1 Th 3.08
I 0.6953 0.1967 0.9112  1 Th 3.08
Hg 0.5838 0.5838 0.2486  6 I 4.07-4.14
Cs 0.1433 0.1433 0.5700  9 I 4.04-4.34
I 0.6382 0.1353 0.5884  1 Th 3.08
Cs 0.8567 0.8567 0.4300  9 I 4.04-4.34
Cs 0.3110 0.3110 0.0670  9 I 4.01-4.35
I 0.6382 0.6382 0.5884  1 Th 3.08
I 0.1353 0.6382 0.5884  1 Th 3.08
I 0.1967 0.1967 0.9112  1 Th 3.08
Th 0.5000 0.5000 0.5000  6 I 3.08
Hg 0.4162 0.4162 0.7514  6 I 4.07-4.14
Th 0.0000 0.0000 0.0000  6 I 3.08
I 0.3618 0.8647 0.4116  1 Th 3.08

- SG = R-3m (166)
- calculated volume (Å³ per atom) = 65.4
- total magnetic moment (μB/cell) = 0.00
- formation energy without anion corrections (eV per atom) = -1.250


VASP calculation (PBE) on a relaxed RbLa2TaTi2O10 crystal.

Cell: 3.8790 3.8790 15.5413 Å, 89.99 89.99 89.99°
With the nearest neighbours (Å) after each atom.
Sites, in units of the cell vectors:
La 0.5044 0.5044 0.1299  12 O 2.67-2.78
La 0.5036 0.5036 0.8432  4 O 2.44-2.45
O 0.0054 0.0054 0.6009  1 Ti 1.70
O 0.0104 0.0104 0.1312  1 Ti 2.05
O 0.5091 0.0112 0.0105  2 Ti 1.93-1.96
O 0.5082 0.0084 0.2518  2 Ta 2.00
Rb 0.5057 0.5057 0.5075  8 O 3.10-3.24
O 0.0112 0.5091 0.0105  2 Ti 1.93-1.96
Ti 0.0052 0.0052 0.7099  1 O 1.70
O 0.0084 0.5082 0.2518  2 Ta 2.00
O 0.0080 0.0080 0.3978  1 Ta 1.80
O 0.5056 0.0051 0.7473  2 Ti 2.02-2.03
Ti 0.0058 0.0058 0.9992  6 O 1.87-2.05
O 0.0051 0.5056 0.7473  2 Ti 2.02-2.03
O 0.0090 0.0090 0.8788  1 Ti 1.87
Ta 0.0079 0.0079 0.2823  5 O 1.80-2.00

- SG = Cm (8)
- calculated volume (Å³ per atom) = 14.6
- total magnetic moment (μB/cell) = 0.00
- formation energy without anion corrections (eV per atom) = -3.090